Sr5Pt3 | meta-GGA SCAN | PBEsol geometry

Values from the calculation:
* E_tot: -41.01 eV per atom
* M_tot: 0.00 μB per formula unit
* ΔE to the lowest computed polymorph: 0.0342 eV per atom
* N(E_F): 11.9 states/eV/cell

Unit cell a=11.906 b=11.906 c=6.281 alpha=90.00 beta=90.00 gamma=90.00
Space group I4/mcm (No. 140)
One atom of each set of equivalent atoms:
Sr (0.000, 0.500, 0.250)
Sr (0.084, 0.210, 0.000)
Pt (0.000, 0.000, 0.250)
Pt (0.155, 0.345, 0.500)